1.
Crystalline TlSnPt2Cl at its relaxed geometry, computed with PBE-GGA.

Lattice parameters (Å, degrees): 4.698 5.451 4.698 90.00 90.00 90.00
Positions (direct):
Tl: 0.500 0.500 0.500
Cl: 0.000 0.000 0.000
Sn: 0.000 0.500 0.000
Pt: 0.000 0.000 0.500
Pt: 0.500 0.000 0.000

## Properties
The calculated density comes out at 10.33 g/cm3. The calculation puts the density of states at the Fermi level at 0.349 states/eV per atom. Its space group is P4/mmm, No. 123. The formation energy from raw total energies comes out at 62.04 kJ per mole of atoms.

=====

2.
Crystalline ZnSn2PtCl at its relaxed geometry, computed with PBE-GGA.

Lattice parameters (Å, degrees): 5.223 4.579 5.223 90.00 90.00 90.00
Positions (direct):
Cl: 0.000 0.500 0.000
Pt: 0.500 0.500 0.500
Zn: 0.000 0.000 0.000
Sn: 0.000 0.000 0.500
Sn: 0.500 0.000 0.000

## Properties
The calculated density comes out at 7.09 g/cm3. The calculation puts the density of states at the Fermi level at 0.513 states/eV per atom. Its space group is P4/mmm, No. 123. The formation energy from raw total energies comes out at 40.81 kJ per mole of atoms.

=====

3.
Crystalline ZrSnPt2Cl at its relaxed geometry, computed with PBE-GGA.

Lattice parameters (Å, degrees): 5.005 5.012 5.005 90.00 90.00 90.00
Site moments in Bohr magnetons follow the coordinates.
Positions (direct):
Zr: 0.500 0.500 0.500  0.97
Cl: 0.000 0.500 0.000  0.01
Pt: 0.000 0.000 0.500  -0.03
Pt: 0.500 0.000 0.000  -0.03
Sn: 0.000 0.000 0.000  -0.01

## Properties
The calculated density comes out at 8.41 g/cm3. The calculation puts the density of states at the Fermi level at 0.761 states/eV per atom. Its space group is P4/mmm, No. 123. The formation energy from raw total energies comes out at 42.82 kJ per mole of atoms.

=====

4.
Crystalline Sr8Pt2Cl at its relaxed geometry, computed with PBE-GGA.

Lattice parameters (Å, degrees): 6.319 9.654 9.658 120.02 90.00 90.00
Positions (direct):
Sr: 0.746 0.839 0.676
Sr: 0.254 0.161 0.324
Sr: 0.753 0.333 0.667
Sr: 0.746 0.324 0.163
Sr: 0.746 0.837 0.161
Sr: 0.254 0.163 0.839
Sr: 0.247 0.667 0.333
Sr: 0.254 0.676 0.837
Pt: 0.255 0.333 0.667
Pt: 0.745 0.667 0.333
Cl: 0.000 0.000 0.000

## Properties
The calculated density comes out at 3.67 g/cm3. The calculation puts the density of states at the Fermi level at 0.884 states/eV per atom. Its space group is P-3, No. 147. The formation energy from raw total energies comes out at -47.83 kJ per mole of atoms.

=====

Number 1: M_tot 0.0 μB per formula unit. Number 2: M_tot 0.0 μB per formula unit. Number 3: M_tot 1.4 μB per formula unit. Number 4: M_tot 0.2 μB per formula unit.